[1]
The following is a meta-GGA SCAN calculation of SrCrSb2 at its PBEsol-relaxed geometry, from Alexandria.

Lattice parameters (Å, degrees): 3.634 3.764 8.096 103.44 102.97 90.00
Last column: magnetic moment on the atom in μB.
Sites, in units of the cell vectors:
Sr: 0.554 0.554 0.108  -0.02
Sb: 0.729 0.229 0.458  -0.20
Sb: 0.923 0.923 0.845  -0.12
Cr: 0.294 0.794 0.588  3.23

Results
- raw formation energy (eV per atom) = -0.2956
- raw total energy (eV/cell) = -116.4
- energy above the lowest structure with this stoichiometry (meV per atom) = 48

[2]
The following is a meta-GGA SCAN calculation of SrCrSb2 at its PBEsol-relaxed geometry, from Alexandria.

Lattice parameters (Å, degrees): 3.626 4.154 7.091 90.00 103.04 90.00
Last column: magnetic moment on the atom in μB.
Sites, in units of the cell vectors:
Cr: 0.000 0.500 0.500  3.68
Sb: 0.815 0.000 0.708  -0.11
Sb: 0.185 0.000 0.292  -0.11
Sr: 0.500 0.500 0.000  -0.01

Results
- raw formation energy (eV per atom) = -0.3436
- raw total energy (eV/cell) = -116.6
- energy above the lowest structure with this stoichiometry (meV per atom) = 0

[3]
The following is a meta-GGA SCAN calculation of SrCrSb2 at its PBEsol-relaxed geometry, from Alexandria.

Lattice parameters (Å, degrees): 5.477 5.477 9.582 106.61 106.61 90.00
Last column: magnetic moment on the atom in μB.
Sites, in units of the cell vectors:
Sb: 0.512 0.875 0.250  -0.06
Sb: 0.125 0.262 0.750  -0.06
Sb: 0.625 0.488 0.750  -0.06
Sb: 0.738 0.375 0.250  -0.06
Cr: 0.500 0.500 0.000  3.85
Cr: 0.750 0.250 0.500  3.85
Sr: 0.250 0.750 0.500  0.04
Sr: 0.000 0.000 0.000  0.04

Results
- raw formation energy (eV per atom) = -0.3154
- raw total energy (eV/cell) = -232.9
- energy above the lowest structure with this stoichiometry (meV per atom) = 28

Q: Which of these has the highest raw formation energy?
A: number 1